[1]
# Ac3Mg2Cd2 PBE-GGA relaxed
data_Ac3Mg2Cd2
_chemical_formula_sum 'Ac3 Mg2 Cd2'
_cell_length_a 5.389
_cell_length_b 6.600
_cell_length_c 7.396
_cell_angle_alpha 103.53
_cell_angle_beta 90.04
_cell_angle_gamma 114.00
_symmetry_space_group_name_H-M 'P -1'
_symmetry_Int_Tables_number 2
loop_
_symmetry_equiv_pos_as_xyz
'x,y,z'
'-x,-y,-z'
loop_
_atom_site_label
_atom_site_fract_x
_atom_site_fract_y
_atom_site_fract_z
_atom_site_occupancy
Ac1 0.000 0.000 0.000 1
Ac2 0.341 0.684 0.243 1
Mg1 0.346 0.691 0.734 1
Cd1 0.111 0.220 0.458 1
# Crystal system ... triclinic
# Total energy ... -18.30 eV per cell
# DFT formation energy ... -0.14 eV/atom

---

[2]
# K2InAg2 PBE-GGA relaxed
data_K2InAg2
_chemical_formula_sum 'K4 In2 Ag4'
_cell_length_a 5.000
_cell_length_b 5.000
_cell_length_c 14.202
_cell_angle_alpha 90.00
_cell_angle_beta 90.00
_cell_angle_gamma 90.00
_symmetry_space_group_name_H-M 'I 4/m m m'
_symmetry_Int_Tables_number 139
_symmetry_space_group_name_Hall '-I 4 2'
loop_
_atom_site_label
_atom_site_fract_x
_atom_site_fract_y
_atom_site_fract_z
_atom_site_occupancy
K1 0.000 0.500 0.250 1
In1 0.000 0.000 0.000 1
Ag1 0.000 0.000 0.406 1
# Crystal system ... tetragonal
# Total energy ... -18.09 eV per cell
# Polymorph energy (0 for the lowest one) ... 0.3541 eV/atom
# DFT formation energy ... 0.32 eV/atom

---

[3]
# Mg4GaHg2 PBE-GGA relaxed
data_Mg4GaHg2
_chemical_formula_sum 'Mg12 Ga3 Hg6'
_cell_length_a 4.7927
_cell_length_b 4.7927
_cell_length_c 23.5629
_cell_angle_alpha 90.00
_cell_angle_beta 90.00
_cell_angle_gamma 120.00
_symmetry_space_group_name_H-M 'R -3 m'
_symmetry_Int_Tables_number 166
_symmetry_space_group_name_Hall '-R 3 2"'
loop_
_atom_site_label
_atom_site_fract_x
_atom_site_fract_y
_atom_site_fract_z
_atom_site_occupancy
Mg1 0.0000 0.0000 0.1226 1
Mg2 0.0000 0.0000 0.3742 1
Ga1 0.0000 0.0000 0.5000 1
Hg1 0.0000 0.0000 0.2532 1
# Crystal system ... trigonal
# Total energy ... -33.46 eV per cell
# Polymorph energy (0 for the lowest one) ... 0.0000 eV/atom
# DFT formation energy ... -0.16 eV/atom

---

So what do the calculations give for D(E_F)? Going down the list: 7.69; 5.99; 7.02 states/eV per cell.